## TlC2 (PBE-GGA)

Data for an optimized crystal structure of TlC2.

The value obtained for the density of states at the Fermi level is 1.03 states/eV/cell. The space-group type is No. 123. As for the uncorrected energy: -13.25 eV for the cell shown. As for the crystal system: tetragonal. The value obtained for the density is 9.593 Mg/m³. The formation energy comes out at 7.6 eV per formula unit.

Cell lengths 2.651, 2.651, 5.626 Å; angles 90.00, 90.00, 90.00 degrees
Atoms (fractional coordinates):
Tl  0.000  0.000  0.000
C  0.000  0.500  0.500
C  0.500  0.000  0.500